PBE-GGA Ho2Er2Sc5, relaxed; energy above the most stable polymorph in this dataset = 0 meV/atom; E = -49.0 eV for the cell shown; E_form = 0.10 eV/atom; total magnetic moment = 0.0 Bohr magnetons per cell; Fermi-level density of states = 14.22 states/eV/f.u.; space group = P-1, No. 2
1.0
3.4246 0.0000 0.0000
-0.2137 8.4462 0.0000
-0.1129 -1.4231 8.5867
Ho Er Sc
2 2 5
Direct
0.2285 0.3488 0.1254
0.7715 0.6512 0.8746
0.2154 0.8496 0.5826
0.7846 0.1504 0.4174
0.2376 0.3055 0.7398
0.2648 0.9480 0.1278
0.5000 0.5000 0.5000
0.7352 0.0520 0.8722
0.7624 0.6945 0.2602